# TlIn3Au3 PBE relaxed
data_TlIn3Au3
_space_group_name_H-M_alt 'R -3'
_space_group_IT_number 148
_space_group_name_Hall '-R 3'
_cell_length_a 8.5870
_cell_length_b 8.5870
_cell_length_c 16.9785
_cell_angle_alpha 90.00
_cell_angle_beta 90.00
_cell_angle_gamma 120.00
loop_
_atom_site_label
_atom_site_fract_x
_atom_site_fract_y
_atom_site_fract_z
_atom_site_occupancy
Tl1 0.0000 0.0000 0.1594 1
In1 0.0059 0.7159 0.6007 1
Au1 0.0067 0.6477 0.4305 1
# **Uncorrected energy**: -3.00 eV per atom
# **E above lowest polymorph**: 0 meV per atom
# **E_form**: -0.09 eV per atom